Here is an optimized crystal structure of Tl2ZnPb from the Alexandria database. Energies are from GGA-PBE. Values from VASP.

V   27.31 Å³/atom
Polymorph energy (0 for the lowest one)   20 meV per atom
E_form   0.10 eV per atom

Cell and atoms, written as Quantum ESPRESSO input:
```
&SYSTEM
  ibrav = 0, nat = 4, ntyp = 3
/
ATOMIC_SPECIES
Pb 207.20 Pb.upf
Tl 204.38 Tl.upf
Zn 65.41 Zn.upf
CELL_PARAMETERS angstrom
-1.0753 -1.2673 3.0616
2.7522 -2.1340 0.0833
4.7677 6.3161 4.2891
ATOMIC_POSITIONS angstrom
Pb 4.4142 3.0364 4.7892
Tl 0.1581 0.2094 0.1422
Tl 2.2258 2.9487 2.0023
Zn 2.0304 -0.1216 2.6447
```